! NaGdTeO | OQMD via LeMat-Bulk | PBE-GGA | optimized geometry; values from VASP
&SYSTEM
  ibrav = 0, nat = 8, ntyp = 4
/
ATOMIC_SPECIES
O 16.00 O.upf
Na 22.99 Na.upf
Te 127.60 Te.upf
Gd 157.25 Gd.upf
CELL_PARAMETERS angstrom
-2.345 -3.306 -0.880
-0.876 -0.451 4.029
-8.102 6.037 -1.086
ATOMIC_POSITIONS angstrom
O -1.244 -1.165 2.802
Na -5.295 1.854 2.259
O -1.978 -2.592 0.347
Na -6.029 0.427 -0.196
Te -4.723 -1.099 2.052
Gd -1.629 -0.326 0.677
Te -6.600 3.379 0.010
Gd -9.695 2.606 1.386
! Electronic total energy ... -44.576 eV per cell
! Energy above the lowest structure with this stoichiometry ... 0 meV/atom
! Mass density ... 6.15 g/cm3
! Magnetization ... 0.00 μB per formula unit

=====

! Na2GdYO4 | OQMD via LeMat-Bulk | PBE-GGA | optimized geometry; values from VASP
&SYSTEM
  ibrav = 0, nat = 8, ntyp = 4
/
ATOMIC_SPECIES
Na 22.99 Na.upf
Gd 157.25 Gd.upf
O 16.00 O.upf
Y 88.91 Y.upf
CELL_PARAMETERS angstrom
-2.307 2.307 5.172
2.307 -2.307 5.172
2.307 2.307 -5.172
ATOMIC_POSITIONS angstrom
Na 0.000 0.000 5.172
Gd 2.307 0.000 2.586
O 0.000 0.000 8.060
O 2.307 0.000 4.906
Na 0.000 2.307 2.586
O 0.000 0.000 2.285
Y 0.000 0.000 0.000
O 2.307 0.000 0.266
! Electronic total energy ... -55.733 eV per cell
! Mass density ... 5.37 g/cm3
! Magnetization ... 0.00 μB per formula unit

=====

! NaGdZnO3 | OQMD via LeMat-Bulk | PBE-GGA | optimized geometry; values from VASP
&SYSTEM
  ibrav = 0, nat = 12, ntyp = 4
/
ATOMIC_SPECIES
Na 22.99 Na.upf
O 16.00 O.upf
Zn 65.41 Zn.upf
Gd 157.25 Gd.upf
CELL_PARAMETERS angstrom
1.678 4.585 2.494
-1.780 4.330 2.854
1.184 -4.773 7.979
ATOMIC_POSITIONS angstrom
Na 0.860 -1.143 7.446
O 0.043 2.974 2.521
O 0.474 1.236 5.426
Zn 0.250 2.812 4.398
Zn 0.832 1.330 8.930
O 0.792 4.802 11.012
O 0.290 -0.660 2.315
O 0.608 2.906 7.901
O 1.039 1.168 10.806
Gd 0.592 -2.387 3.990
Na 0.222 5.285 5.881
Gd 0.000 0.000 0.000
! Electronic total energy ... -69.575 eV per cell
! Mass density ... 5.74 g/cm3
! Magnetization ... 0.00 μB per formula unit

=====

! Na3GdP | OQMD via LeMat-Bulk | PBE-GGA | optimized geometry; values from VASP
&SYSTEM
  ibrav = 0, nat = 5, ntyp = 3
/
ATOMIC_SPECIES
Na 22.99 Na.upf
P 30.97 P.upf
Gd 157.25 Gd.upf
CELL_PARAMETERS angstrom
-1.640 0.224 5.060
0.035 -5.318 0.247
5.064 0.109 1.637
ATOMIC_POSITIONS angstrom
Na -0.803 -2.547 2.653
Na 1.712 0.167 3.348
P 1.730 -2.492 3.472
Gd 0.000 0.000 0.000
Na 2.550 -2.604 0.942
! Electronic total energy ... -12.423 eV per cell
! Mass density ... 2.83 g/cm3
! Magnetization ... 1.01 μB per formula unit

=====

! NaGdPa | OQMD via LeMat-Bulk | PBE-GGA | optimized geometry; values from VASP
&SYSTEM
  ibrav = 0, nat = 3, ntyp = 3
/
ATOMIC_SPECIES
Na 22.99 Na.upf
Gd 157.25 Gd.upf
Pa 231.04 Pa.upf
CELL_PARAMETERS angstrom
0.000 3.679 3.679
3.679 0.000 3.679
3.679 3.679 0.000
ATOMIC_POSITIONS angstrom
Na 0.000 0.000 0.000
Gd 1.839 1.839 1.839
Pa 5.518 5.518 5.518
! Electronic total energy ... -11.204 eV per cell
! Energy above the lowest structure with this stoichiometry ... 0 meV/atom
! Mass density ... 6.86 g/cm3
! Magnetization ... 3.03 μB per formula unit

=====

! NaGdPd | OQMD via LeMat-Bulk | PBE-GGA | optimized geometry; values from VASP
&SYSTEM
  ibrav = 0, nat = 3, ntyp = 3
/
ATOMIC_SPECIES
Na 22.99 Na.upf
Gd 157.25 Gd.upf
Pd 106.42 Pd.upf
CELL_PARAMETERS angstrom
0.000 3.399 3.399
3.399 0.000 3.399
3.399 3.399 0.000
ATOMIC_POSITIONS angstrom
Na 5.099 5.099 5.099
Gd 1.700 1.700 1.700
Pd 0.000 0.000 0.000
! Electronic total energy ... -11.919 eV per cell
! Energy above the lowest structure with this stoichiometry ... 0 meV/atom
! Mass density ... 6.06 g/cm3
! Magnetization ... 0.00 μB per formula unit

=====

! NaGdPd | OQMD via LeMat-Bulk | PBE-GGA | optimized geometry; values from VASP
&SYSTEM
  ibrav = 0, nat = 3, ntyp = 3
/
ATOMIC_SPECIES
Pd 106.42 Pd.upf
Gd 157.25 Gd.upf
Na 22.99 Na.upf
CELL_PARAMETERS angstrom
-2.674 -1.741 3.608
-3.721 -2.908 -0.946
0.244 -4.673 1.141
ATOMIC_POSITIONS angstrom
Pd -4.613 -6.991 2.852
Gd 0.000 0.000 0.000
Na -1.538 -2.330 0.951
! Electronic total energy ... -10.751 eV per cell
! Energy above the lowest structure with this stoichiometry ... 389 meV/atom
! Mass density ... 6.03 g/cm3
! Magnetization ... 0.01 μB per formula unit

=====

! NaGdPt | OQMD via LeMat-Bulk | PBE-GGA | optimized geometry; values from VASP
&SYSTEM
  ibrav = 0, nat = 3, ntyp = 3
/
ATOMIC_SPECIES
Pt 195.08 Pt.upf
Gd 157.25 Gd.upf
Na 22.99 Na.upf
CELL_PARAMETERS angstrom
0.000 3.376 3.376
3.376 0.000 3.376
3.376 3.376 0.000
ATOMIC_POSITIONS angstrom
Pt 0.000 0.000 0.000
Gd 1.688 1.688 1.688
Na 5.063 5.063 5.063
! Electronic total energy ... -13.646 eV per cell
! Energy above the lowest structure with this stoichiometry ... 0 meV/atom
! Mass density ... 8.10 g/cm3
! Magnetization ... 0.00 μB per formula unit

=====

! NaGdPtSe3 | OQMD via LeMat-Bulk | PBE-GGA | optimized geometry; values from VASP
&SYSTEM
  ibrav = 0, nat = 12, ntyp = 4
/
ATOMIC_SPECIES
Se 78.96 Se.upf
Gd 157.25 Gd.upf
Pt 195.08 Pt.upf
Na 22.99 Na.upf
CELL_PARAMETERS angstrom
6.731 0.657 -3.298
-6.869 2.783 1.297
3.584 4.973 8.304
ATOMIC_POSITIONS angstrom
Se 5.179 1.337 -2.020
Gd -0.069 1.720 -1.000
Pt 7.478 1.923 -1.172
Pt -4.033 6.490 7.475
Se -1.733 7.076 8.324
Se 2.152 2.756 0.628
Se 6.403 3.037 0.817
Na 5.799 4.953 4.153
Se -2.958 5.377 5.486
Gd 1.723 4.207 3.152
Na -2.353 3.461 2.150
Se 1.294 5.657 5.675
! Electronic total energy ... -57.786 eV per cell
! Mass density ... 6.82 g/cm3
! Magnetization ... 0.01 μB per formula unit

=====

! RbNaGd | OQMD via LeMat-Bulk | PBE-GGA | optimized geometry; values from VASP
&SYSTEM
  ibrav = 0, nat = 3, ntyp = 3
/
ATOMIC_SPECIES
Rb 85.47 Rb.upf
Gd 157.25 Gd.upf
Na 22.99 Na.upf
CELL_PARAMETERS angstrom
-3.163 3.414 3.849
-5.491 1.989 -1.539
-4.900 -2.258 2.714
ATOMIC_POSITIONS angstrom
Rb 0.000 0.000 0.000
Gd -3.388 0.786 1.256
Na -10.165 2.358 3.768
! Electronic total energy ... -3.671 eV per cell
! Energy above the lowest structure with this stoichiometry ... 75 meV/atom
! Mass density ... 2.83 g/cm3
! Magnetization ... 0.73 μB per formula unit

=====

! RbNaGd | OQMD via LeMat-Bulk | PBE-GGA | optimized geometry; values from VASP
&SYSTEM
  ibrav = 0, nat = 3, ntyp = 3
/
ATOMIC_SPECIES
Gd 157.25 Gd.upf
Na 22.99 Na.upf
Rb 85.47 Rb.upf
CELL_PARAMETERS angstrom
5.020 -2.805 -1.926
3.441 -3.091 3.922
0.184 -6.057 -0.246
ATOMIC_POSITIONS angstrom
Gd 0.000 0.000 0.000
Na 2.161 -2.988 0.437
Rb 6.484 -8.964 1.312
! Electronic total energy ... -3.895 eV per cell
! Energy above the lowest structure with this stoichiometry ... 0 meV/atom
! Mass density ... 2.80 g/cm3
! Magnetization ... 1.02 μB per formula unit